No. 1
BaAlIr2: PBEsol geometry, SCAN.

Summary:
crystal system: orthorhombic
excess energy over the best structure of this formula in the dataset: 428.9 meV/atom

Cell lengths 4.9895, 4.9895, 4.9895 Å; angles 132.13, 114.47, 85.13 degrees
Element x y z (fractional)
Ba: 0.0000 0.0000 0.0000
Al: 0.5000 0.5000 0.0000
Ir: 0.2980 0.7980 0.5000
Ir: 0.7020 0.2020 0.5000

---

No. 2
BaCaMg2Tc: PBEsol geometry, SCAN.

Summary:
crystal system: tetragonal

Cell lengths 5.7052, 5.7052, 5.0129 Å; angles 90.00, 90.00, 90.00 degrees
Element x y z (fractional)
Ba: 0.0000 0.0000 0.0000
Ca: 0.5000 0.5000 0.5000
Mg: 0.0000 0.5000 0.5000
Mg: 0.5000 0.0000 0.5000
Tc: 0.5000 0.5000 0.0000

---

No. 3
ZnCr4Co: PBEsol geometry, SCAN.

Summary:
crystal system: cubic

Cell lengths 4.6207, 4.6207, 4.6207 Å; angles 60.00, 60.00, 60.00 degrees
Element x y z (fractional)
Zn: 0.0000 0.0000 0.0000
Cr: 0.3737 0.3737 0.3737
Cr: 0.3737 0.3737 0.8789
Cr: 0.3737 0.8789 0.3737
Cr: 0.8789 0.3737 0.3737
Co: 0.7500 0.7500 0.7500

---

No. 4
PrGaPd2: PBEsol geometry, SCAN.

Summary:
crystal system: orthorhombic

Cell lengths 7.4958, 7.0564, 5.6778 Å; angles 90.00, 90.00, 90.00 degrees
Element x y z (fractional)
Pr: 0.0337 0.2500 0.1459
Pr: 0.4663 0.7500 0.6459
Pr: 0.5337 0.2500 0.3541
Pr: 0.9663 0.7500 0.8541
Ga: 0.1185 0.7500 0.3509
Ga: 0.3815 0.2500 0.8509
Ga: 0.6185 0.7500 0.1491
Ga: 0.8815 0.2500 0.6491
Pd: 0.1774 0.0535 0.5879
Pd: 0.1774 0.4465 0.5879
Pd: 0.3226 0.5535 0.0879
Pd: 0.3226 0.9465 0.0879
Pd: 0.6774 0.0535 0.9121
Pd: 0.6774 0.4465 0.9121
Pd: 0.8226 0.5535 0.4121
Pd: 0.8226 0.9465 0.4121

---

Calculated energy of formation from the pure elements in order - 0.383, 0.987, 0.402, -0.922 eV/atom